(1)
This record from Alexandria describes a relaxed SrCuH8Pt2 crystal. The functional is GGA-PBE.

a b c (Å): 4.8251 4.8251 16.7542
angles (deg): 90.00 90.00 120.00
Space group R-3m (No. 166, hexagonal axes)
Asymmetric unit:
Sr 0.0000 0.0000 0.0000
Cu 0.0000 0.0000 0.5000
H 0.0000 0.0000 0.3141
H 0.0523 0.5261 0.0903
Pt 0.0000 0.0000 0.2163

Calculated values
Raw total energy: -3.8416 eV per atom

***

(2)
This record from Alexandria describes a relaxed SrCePtAu crystal. The functional is GGA-PBE.

a b c (Å): 7.369 7.369 7.369
angles (deg): 90.00 90.00 90.00
Space group F-43m (No. 216)
Asymmetric unit:
Sr 0.000 0.000 0.000
Ce 0.000 0.000 0.500
Pt 0.250 0.250 0.750
Au 0.250 0.250 0.250

Calculated values
Raw total energy: -4.9601 eV per atom
Energy of formation: -0.7267 eV/atom

***

Total magnetic moment
In order: 0.00 0.24
Unit: μB/atom
Density
In order: 8.10 10.29
Unit: g/cm3